VASP calculation (PBE) on an optimized crystal structure of Li3Os.

Unit cell a=9.8956 b=9.8956 c=9.8956 alpha=15.57 beta=15.57 gamma=15.57
Sites, in units of the cell vectors:
1 Li 0.5000 0.5000 0.5000
2 Li 0.7425 0.7425 0.7425
3 Li 0.2575 0.2575 0.2575
4 Os 0.0000 0.0000 0.0000

Computed properties:
formation enthalpy at 0 K: 112 meV/atom
crystal system: trigonal
relative energy among the computed polymorphs: 0.0 kJ per mole of atoms
symmetry: R-3m, No. 166